No. 1
First-principles (GGA-PBE) data for a relaxed PuHf7Zr12 crystal, as listed in Alexandria via LeMat-Bulk.

abc: 7.7421 7.7421 7.7421
angles: 90.77 90.77 90.77
Last column: nearest neighbours and their distance in Å.
Sites, in units of the cell vectors:
Hf 0.0553 0.1473 0.3782  3 Hf 3.10-3.18, 1 Pu 3.15, 7 Zr 3.21-3.33
Hf 0.9447 0.8527 0.6218  3 Hf 3.10-3.18, 1 Pu 3.15, 7 Zr 3.21-3.33
Zr 0.8528 0.5060 0.3829  4 Zr 2.85-3.18, 1 Hf 2.89
Zr 0.5060 0.3829 0.8528  4 Zr 2.85-3.18, 1 Hf 2.89
Zr 0.7349 0.8776 0.2618  3 Zr 2.85-3.18, 1 Pu 3.05
Zr 0.1224 0.7382 0.2651  3 Zr 2.85-3.18, 1 Pu 3.05
Hf 0.6218 0.9447 0.8527  3 Hf 3.10-3.18, 1 Pu 3.15, 7 Zr 3.21-3.33
Hf 0.3782 0.0553 0.1473  3 Hf 3.10-3.18, 1 Pu 3.15, 7 Zr 3.21-3.33
Zr 0.1472 0.4940 0.6171  4 Zr 2.85-3.18, 1 Hf 2.89
Pu 0.0000 0.0000 0.0000  6 Zr 3.05, 6 Hf 3.15
Zr 0.2651 0.1224 0.7382  3 Zr 2.85-3.18, 1 Pu 3.05
Zr 0.4940 0.6171 0.1472  4 Zr 2.85-3.18, 1 Hf 2.89
Hf 0.5000 0.5000 0.5000  6 Zr 2.89
Hf 0.8527 0.6218 0.9447  3 Hf 3.10-3.18, 1 Pu 3.15, 7 Zr 3.21-3.33
Zr 0.3829 0.8528 0.5060  4 Zr 2.85-3.18, 1 Hf 2.89
Hf 0.1473 0.3782 0.0553  3 Hf 3.10-3.18, 1 Pu 3.15, 7 Zr 3.21-3.33
Zr 0.8776 0.2618 0.7349  3 Zr 2.85-3.18, 1 Pu 3.05
Zr 0.7382 0.2651 0.1224  3 Zr 2.85-3.18, 1 Pu 3.05
Zr 0.2618 0.7349 0.8776  3 Zr 2.85-3.18, 1 Pu 3.05
Zr 0.6171 0.1472 0.4940  4 Zr 2.85-3.18, 1 Hf 2.89

## Properties
**ΔH_f (0 K)**: 0.222 eV/atom



No. 2
First-principles (GGA-PBE) data for a relaxed Tl7Au5 crystal, as listed in Alexandria via LeMat-Bulk.

abc: 6.8693 7.6046 7.6046
angles: 78.05 63.08 63.08
Last column: nearest neighbours and their distance in Å.
Sites, in units of the cell vectors:
Au 0.7794 0.2488 0.2488  1 Au 2.93, 5 Tl 2.98-3.09
Au 0.3027 0.0488 0.0488  4 Au 2.88-3.04, 3 Tl 2.97-3.19
Tl 0.3441 0.5454 0.5454  4 Au 2.92-3.07
Tl 0.9248 0.4522 0.4522  4 Au 2.95-3.09
Au 0.4967 0.7431 0.7431  7 Tl 2.95-3.11, 1 Au 3.04
Tl 0.9653 0.9455 0.9455  5 Au 2.97-3.19, 2 Tl 3.25
Tl 0.7608 0.0097 0.6154  4 Au 2.98-3.32, 1 Tl 3.25
Tl 0.4382 0.3813 0.0029  4 Au 2.97-3.32
Au 0.1375 0.2596 0.7477  1 Au 2.88, 5 Tl 2.92-3.04
Tl 0.4382 0.0029 0.3813  4 Au 2.97-3.32
Au 0.1375 0.7477 0.2596  1 Au 2.88, 5 Tl 2.92-3.04
Tl 0.7608 0.6154 0.0097  4 Au 2.98-3.32, 1 Tl 3.25

## Properties
**ΔH_f (0 K)**: -0.007 eV/atom



No. 3
First-principles (GGA-PBE) data for a relaxed PmTm2ReO8 crystal, as listed in Alexandria via LeMat-Bulk.

abc: 5.0208 5.0204 6.7867
angles: 90.00 90.00 89.79
Last column: nearest neighbours and their distance in Å.
Sites, in units of the cell vectors:
O 0.6845 0.6845 0.5000  2 Tm 2.13, 1 Pm 2.24
O 0.7315 0.7316 0.0000  1 Re 1.91
O 0.8143 0.1858 0.2029  1 Re 1.91
O 0.2685 0.2684 0.0000  1 Re 1.91
O 0.1857 0.8142 0.7971  1 Re 1.91
Tm 0.5000 0.5000 0.2521  6 O 2.13-2.37
O 0.8143 0.1858 0.7971  1 Re 1.91
Tm 0.5000 0.5000 0.7479  6 O 2.13-2.37
O 0.1857 0.8142 0.2029  1 Re 1.91
Pm 0.0000 0.0000 0.5000  6 O 2.24-2.41
O 0.3155 0.3155 0.5000  2 Tm 2.13, 1 Pm 2.24
Re 0.0000 0.0000 0.0000  6 O 1.91

## Properties
**Formation energy without anion corrections**: -2.795 eV/atom



No. 4
First-principles (GGA-PBE) data for a relaxed Ni3PdC crystal, as listed in Alexandria via LeMat-Bulk.

abc: 3.8015 3.8015 3.8015
angles: 90.00 90.00 90.00
Last column: nearest neighbours and their distance in Å.
Sites, in units of the cell vectors:
Pd 0.5000 0.5000 0.5000  12 Ni 2.69
Ni 0.0000 0.0000 0.5000  2 C 1.90
Ni 0.5000 0.0000 0.0000  2 C 1.90
Ni 0.0000 0.5000 0.0000  2 C 1.90
C 0.0000 0.0000 0.0000  6 Ni 1.90

## Properties
**Distance to the lowest polymorph of the same formula**: 0.000 eV/atom
**ΔH_f (0 K)**: 0.133 eV/atom



No. 5
First-principles (GGA-PBE) data for a relaxed CeSmHo2Er4 crystal, as listed in Alexandria via LeMat-Bulk.

abc: 5.0079 4.9958 11.1170
angles: 63.30 90.00 90.00
Last column: nearest neighbours and their distance in Å.
Sites, in units of the cell vectors:
Ho 0.0000 0.0000 0.0000  4 Sm 3.54, 8 Er 3.54
Er 0.5000 0.2528 0.7474  4 Ho 3.50-3.54, 2 Ce 3.51, 4 Er 3.54, 2 Sm 3.54
Sm 0.5000 0.5000 0.0000  4 Ho 3.54, 8 Er 3.54
Ce 0.0000 0.5000 0.5000  8 Er 3.51, 4 Ho 3.54
Ho 0.5000 0.0000 0.5000  8 Er 3.50-3.51, 4 Ce 3.54
Er 0.0000 0.7524 0.7477  2 Ce 3.51, 4 Ho 3.51-3.54, 4 Er 3.54, 2 Sm 3.54
Er 0.5000 0.7472 0.2526  4 Ho 3.50-3.54, 2 Ce 3.51, 4 Er 3.54, 2 Sm 3.54
Er 0.0000 0.2476 0.2523  2 Ce 3.51, 4 Ho 3.51-3.54, 4 Er 3.54, 2 Sm 3.54

## Properties
**ΔH_f (0 K)**: 0.046 eV/atom



No. 6
First-principles (GGA-PBE) data for a relaxed SmEuLu crystal, as listed in Alexandria via LeMat-Bulk.

abc: 3.6329 3.6329 8.9171
angles: 90.00 90.00 120.00
Last column: nearest neighbours and their distance in Å.
Sites, in units of the cell vectors:
Sm 0.6667 0.3333 0.3480  3 Lu 3.47, 6 Sm 3.63, 3 Eu 3.79
Eu 0.0000 0.0000 0.9945  6 Eu 3.63, 3 Lu 3.66, 3 Sm 3.79
Lu 0.3333 0.6667 0.6575  3 Sm 3.47, 6 Lu 3.63, 3 Eu 3.66

## Properties
**ΔH_f (0 K)**: 0.063 eV/atom